This record from the Alexandria database describes Na3Dy3GeO8 after structural relaxation. The functional is PBE.

Calculated values
Raw formation energy   -38.1 eV/f.u.
Raw total energy   -0.4908 Ry/atom
Calculated volume   213.36 Å³/cell
Fermi-level density of states   0.00 states/eV per cell

```
Na3Dy3GeO8
1.0
6.661 0.000 0.000
-3.331 5.769 -0.020
0.000 -3.827 5.566
Na Dy Ge O
3 3 1 8
direct
0.000 0.000 0.000
0.000 0.500 0.000
0.500 0.500 0.000
0.500 0.000 0.500
0.500 0.500 0.500
0.000 0.500 0.500
0.000 0.000 0.500
0.264 0.528 0.292
0.736 0.472 0.708
0.789 0.579 0.306
0.211 0.421 0.694
0.789 0.016 0.306
0.211 0.984 0.694
0.227 0.016 0.306
0.773 0.984 0.694
```


This record from the Alexandria database describes Na4Dy3GeO8 after structural relaxation. The functional is PBE.

Calculated values
Raw formation energy   -38.4 eV/f.u.
Raw total energy   -0.4677 Ry/atom
Calculated volume   218.94 Å³/cell
Fermi-level density of states   1.35 states/eV per cell

```
Na4Dy3GeO8
1.0
-0.265 -0.771 6.683
-0.902 -6.689 -0.808
5.312 3.014 -2.833
Na Dy Ge O
4 3 1 8
direct
0.500 0.000 0.000
0.500 0.000 0.500
0.000 0.000 0.000
0.000 0.000 0.500
0.500 0.500 0.000
0.500 0.500 0.500
0.000 0.500 0.500
0.000 0.500 0.000
0.230 0.709 0.979
0.230 0.709 0.460
0.263 0.288 0.526
0.749 0.709 0.979
0.251 0.291 0.021
0.737 0.712 0.474
0.770 0.291 0.540
0.770 0.291 0.021
```


This record from the Alexandria database describes NaDyGe2O6 after structural relaxation. The functional is PBE.

Calculated values
Raw formation energy   -22.3 eV/f.u.
Raw total energy   -0.4942 Ry/atom
Calculated volume   283.00 Å³/cell
Fermi-level density of states   0.00 states/eV per cell

```
NaDyGe2O6
1.0
5.738 -0.103 -0.107
1.713 6.989 0.254
1.713 -0.005 6.994
Na Dy Ge O
2 2 4 12
direct
0.250 0.312 0.688
0.750 0.688 0.312
0.250 0.891 0.109
0.750 0.109 0.891
0.255 0.797 0.623
0.245 0.377 0.203
0.745 0.203 0.377
0.755 0.623 0.797
0.149 0.962 0.805
0.351 0.195 0.038
0.851 0.038 0.195
0.649 0.805 0.962
0.331 0.885 0.391
0.169 0.609 0.115
0.669 0.115 0.609
0.831 0.391 0.885
0.029 0.656 0.629
0.471 0.371 0.344
0.971 0.344 0.371
0.529 0.629 0.656
```


This record from the Alexandria database describes NaDyGePd after structural relaxation. The functional is PBE.

Calculated values
Energy relative to the elements   -477 meV per atom
Raw total energy   -0.3241 Ry/atom
Calculated volume   75.70 Å³/cell
Fermi-level density of states   0.16 states/eV per cell

```
NaDyGePd
1.0
4.748 0.000 0.000
2.374 4.112 0.000
2.374 1.371 3.877
Na Ge Pd Dy
1 1 1 1
direct
0.750 0.750 0.750
0.000 0.000 0.000
0.250 0.250 0.250
0.500 0.500 0.500
```


This record from the Alexandria database describes Na2DyGe3Pt4 after structural relaxation. The functional is PBE.

Calculated values
Energy relative to the elements   -596 meV per atom
Raw total energy   -0.3764 Ry/atom
Calculated volume   204.27 Å³/cell
Fermi-level density of states   6.02 states/eV per cell

```
Na2DyGe3Pt4
1.0
-0.653 2.430 3.539
0.711 -3.470 2.513
10.560 2.387 0.309
Na Dy Ge Pt
2 1 3 4
direct
0.500 0.000 0.228
0.000 0.500 0.772
0.500 0.500 0.500
0.000 0.000 0.500
0.500 0.000 0.880
0.000 0.500 0.120
0.500 0.500 0.000
0.000 0.000 0.000
0.500 0.000 0.654
0.000 0.500 0.346
```


This record from the Alexandria database describes NaDyGeS4 after structural relaxation. The functional is PBE.

Calculated values
Raw formation energy   -7.3 eV/f.u.
Raw total energy   -0.3608 Ry/atom
Calculated volume   323.06 Å³/cell
Fermi-level density of states   1.40 states/eV per cell

```
NaDyGeS4
1.0
-4.353 -1.514 -5.812
2.900 -4.090 -5.840
-2.639 -7.176 -0.888
Na Dy Ge S
2 2 2 8
direct
0.500 0.000 0.500
0.000 0.000 0.500
0.000 0.000 0.000
0.000 0.500 0.500
0.640 0.610 0.110
0.360 0.390 0.890
0.747 0.737 0.768
0.253 0.732 0.763
0.747 0.268 0.237
0.253 0.263 0.232
0.261 0.744 0.244
0.752 0.744 0.244
0.248 0.256 0.756
0.739 0.256 0.756
```